[1]
5
Lattice="5.2922 0.0000 0.0000 0.0000 5.2922 0.0000 0.0000 0.0000 5.0295" Properties=species:S:1:pos:R:3 comment="GGA-PBE HfTiSn2Bi, optimized geometry" crystal_system=tetragonal ef_mev_per_atom=451 mass_density_g_cm3=7.9 pbc="T T T"
Hf 0.0000 0.0000 0.0000
Ti 0.0000 0.0000 2.5148
Sn 0.0000 2.6461 2.5148
Sn 2.6461 0.0000 2.5148
Bi 2.6461 2.6461 0.0000



[2]
4
Lattice="3.7249 0.0000 0.0000 0.0000 3.7249 0.0000 0.0000 0.0000 8.4219" Properties=species:S:1:pos:R:3 comment="GGA-PBE SrHfBi2, optimized geometry" crystal_system=tetragonal ef_mev_per_atom=-319 e_above_lowest_polymorph_ev_per_fu=0.62 mass_density_g_cm3=9.7 pbc="T T T"
Sr 0.0000 0.0000 0.0000
Hf 0.0000 0.0000 4.2110
Bi 1.8624 1.8624 2.4176
Bi 1.8624 1.8624 6.0043



[3]
5
Lattice="5.4986 0.0000 0.0000 0.0000 5.4986 0.0000 0.0000 0.0000 5.4986" Properties=species:S:1:pos:R:3 comment="GGA-PBE SrHf3Bi, optimized geometry" crystal_system=cubic ef_mev_per_atom=1035 e_above_lowest_polymorph_ev_per_fu=0.00 mass_density_g_cm3=8.3 pbc="T T T"
Sr 0.0000 0.0000 0.0000
Hf 0.0000 2.7493 2.7493
Hf 2.7493 0.0000 2.7493
Hf 2.7493 2.7493 0.0000
Bi 2.7493 2.7493 2.7493



[4]
8
Lattice="-4.6821 4.6821 3.2576 4.6821 -4.6821 3.2576 4.6821 4.6821 -3.2576" Properties=species:S:1:pos:R:3 comment="GGA-PBE Sr2HfBi, optimized geometry" crystal_system=tetragonal ef_mev_per_atom=409 mass_density_g_cm3=6.5 pbc="T T T"
Sr 7.0232 2.1405 -0.8144
Sr 2.1405 2.3411 0.8144
Sr -2.3411 2.5416 2.4432
Sr 2.5416 2.3411 4.0719
Hf 4.6821 0.0000 1.6288
Hf 0.0000 0.0000 3.2576
Bi 0.0000 0.0000 0.0000
Bi 0.0000 4.6821 1.6288



[5]
5
Lattice="6.2942 0.0000 0.0000 0.0000 6.2942 0.0000 0.0000 0.0000 6.2942" Properties=species:S:1:pos:R:3 comment="GGA-PBE Sr3HfBi, optimized geometry" crystal_system=cubic ef_mev_per_atom=537 e_above_lowest_polymorph_ev_per_fu=0.00 mass_density_g_cm3=4.3 pbc="T T T"
Sr 0.0000 0.0000 3.1471
Sr 0.0000 3.1471 0.0000
Sr 3.1471 0.0000 0.0000
Hf 3.1471 3.1471 3.1471
Bi 0.0000 0.0000 0.0000



[6]
8
Lattice="-2.4018 2.4018 11.0529 2.4018 -2.4018 11.0529 2.4018 2.4018 -11.0529" Properties=species:S:1:pos:R:3 comment="GGA-PBE SrHf2Bi, optimized geometry" crystal_system=tetragonal ef_mev_per_atom=530 mass_density_g_cm3=8.5 pbc="T T T"
Sr 0.0000 0.0000 0.0000
Sr 0.0000 2.4018 5.5264
Hf 1.2009 -0.6077 8.2897
Hf 1.7941 1.2009 2.7632
Hf 1.2009 3.0095 -2.7632
Hf 0.6077 1.2009 13.8161
Bi 2.4018 0.0000 5.5264
Bi 0.0000 0.0000 11.0529



[7]
8
Lattice="-4.2143 4.2143 3.7384 4.2143 -4.2143 3.7384 4.2143 4.2143 -3.7384" Properties=species:S:1:pos:R:3 comment="GGA-PBE SrHfBi2, optimized geometry" crystal_system=tetragonal ef_mev_per_atom=-182 e_above_lowest_polymorph_ev_per_fu=1.17 mass_density_g_cm3=8.6 pbc="T T T"
Sr 0.0000 0.0000 0.0000
Sr 0.0000 4.2143 1.8692
Hf 4.2143 0.0000 1.8692
Hf 0.0000 0.0000 3.7384
Bi 2.1072 -1.8102 2.8038
Bi 2.4041 2.1072 0.9346
Bi 2.1072 6.0246 -0.9346
Bi 1.8102 2.1072 4.6729



[8]
5
Lattice="5.2371 0.0000 0.0000 0.0000 5.2371 0.0000 0.0000 0.0000 5.2371" Properties=species:S:1:pos:R:3 comment="GGA-PBE SrHf3Bi, optimized geometry" crystal_system=cubic ef_mev_per_atom=1912 e_above_lowest_polymorph_ev_per_fu=4.38 mass_density_g_cm3=9.6 pbc="T T T"
Sr 0.0000 0.0000 0.0000
Hf 0.0000 0.0000 2.6185
Hf 0.0000 2.6185 0.0000
Hf 2.6185 0.0000 0.0000
Bi 2.6185 2.6185 2.6185



[9]
4
Lattice="2.1930 1.2662 7.7538 -2.1930 1.2662 7.7538 0.0000 -2.5323 7.7538" Properties=species:S:1:pos:R:3 comment="GGA-PBE SrHfBi2, optimized geometry" crystal_system=trigonal ef_mev_per_atom=-474 e_above_lowest_polymorph_ev_per_fu=0.00 mass_density_g_cm3=8.8 pbc="T T T"
Sr 0.0000 0.0000 0.0000
Hf 0.0000 0.0000 11.6307
Bi 0.0000 0.0000 5.5343
Bi 0.0000 0.0000 17.7270



[10]
4
Lattice="0.0000 3.8807 3.8807 3.8807 0.0000 3.8807 3.8807 3.8807 0.0000" Properties=species:S:1:pos:R:3 comment="GGA-PBE SrHfBi2, optimized geometry" crystal_system=cubic ef_mev_per_atom=-154 e_above_lowest_polymorph_ev_per_fu=1.28 mass_density_g_cm3=9.7 pbc="T T T"
Sr 0.0000 0.0000 0.0000
Hf 3.8807 3.8807 3.8807
Bi 1.9403 1.9403 1.9403
Bi 5.8210 5.8210 5.8210



[11]
20
Lattice="14.6016 0.0000 0.0000 0.0000 6.5932 0.0000 0.0000 0.0000 6.6998" Properties=species:S:1:pos:R:3 comment="GGA-PBE SrHfBi3, optimized geometry" crystal_system=orthorhombic ef_mev_per_atom=-400 e_above_lowest_polymorph_ev_per_fu=0.00 mass_density_g_cm3=9.2 pbc="T T T"
Sr 2.7209 0.1082 1.6750
Sr 2.7209 3.1884 5.0249
Sr 11.8807 3.4048 1.6750
Sr 11.8807 6.4850 5.0249
Hf 5.9858 4.9449 0.0000
Hf 5.9858 4.9449 3.3499
Hf 8.6158 1.6483 0.0000
Hf 8.6158 1.6483 3.3499
Bi 0.0790 4.9449 0.0000
Bi 0.0790 4.9449 3.3499
Bi 4.0455 3.3715 1.6750
Bi 4.0455 6.5184 5.0249
Bi 6.2320 0.8298 1.6750
Bi 6.2320 2.4668 5.0249
Bi 8.3696 4.1264 1.6750
Bi 8.3696 5.7634 5.0249
Bi 10.5560 0.0749 1.6750
Bi 10.5560 3.2217 5.0249
Bi 14.5225 1.6483 0.0000
Bi 14.5225 1.6483 3.3499



[12]
5
Lattice="6.0272 0.0000 0.0000 0.0000 6.0272 0.0000 0.0000 0.0000 6.0272" Properties=species:S:1:pos:R:3 comment="GGA-PBE Sr3HfBi, optimized geometry" crystal_system=cubic ef_mev_per_atom=752 e_above_lowest_polymorph_ev_per_fu=1.07 mass_density_g_cm3=4.9 pbc="T T T"
Sr 0.0000 0.0000 3.0136
Sr 0.0000 3.0136 0.0000
Sr 3.0136 0.0000 0.0000
Hf 0.0000 0.0000 0.0000
Bi 3.0136 3.0136 3.0136